VASP calculation (GGA-PBE) on a relaxed structure of CeSm2YP4.

Cell lengths 7.050, 4.078, 7.062 Å; angles 90.00, 109.39, 90.00 degrees
Space group P2/m (No. 10)
Unique sites:
Ce1 0.000 0.000 0.000 [1 per cell]
Sm1 0.000 0.500 0.500 [1 per cell]
Sm2 0.500 0.000 0.500 [1 per cell]
Y1 0.500 0.500 0.000 [1 per cell]
P1 0.249 0.500 0.245 [2 per cell]
P2 0.251 0.000 0.756 [2 per cell]

Output
For the energy, the calculation gives -56.1 eV for the cell shown. Its formation energy from the elements is -1574 meV per atom.